Here is MgV2AgO6 after structural relaxation from the Alexandria database. Energies are from PBE with a Hubbard U.

Cell: 6.033 7.255 7.255 Å, 98.07 73.64 73.64°
Sites, in units of the cell vectors:
1 Mg 0.250 0.188 0.812
2 Mg 0.750 0.812 0.188
3 V 0.306 0.732 0.570
4 V 0.194 0.430 0.268
5 V 0.694 0.268 0.430
6 V 0.806 0.570 0.732
7 Ag 0.250 0.895 0.105
8 Ag 0.750 0.105 0.895
9 O 0.171 0.940 0.780
10 O 0.329 0.220 0.060
11 O 0.829 0.060 0.220
12 O 0.671 0.780 0.940
13 O 0.435 0.828 0.379
14 O 0.065 0.621 0.172
15 O 0.565 0.172 0.621
16 O 0.935 0.379 0.828
17 O 0.034 0.659 0.572
18 O 0.466 0.428 0.341
19 O 0.966 0.341 0.428
20 O 0.534 0.572 0.659

Values from the calculation:
- Uncorrected energy: -6.640 eV/atom
- Total magnetization: 2.00 μB/cell